A plane-wave DFT calculation with GGA-PBE was carried out for a geometry-optimized Ac2CeErTe5 structure.

Cell: 5.467 5.467 11.903 Å, 90.00 90.00 90.00°
Fractional coordinates of all 9 atoms:
1 Ac 0.500 0.500 0.701
2 Ac 0.500 0.500 0.299
3 Te 0.000 0.000 0.749
4 Te 0.000 0.000 0.251
5 Te 0.000 0.500 0.500
6 Te 0.500 0.500 0.000
7 Te 0.500 0.000 0.500
8 Er 0.000 0.000 0.500
9 Ce 0.000 0.000 0.000

As for the uncorrected energy: -4.856 eV/atom. For the density of states at the Fermi level, the calculation gives 1.63 states/eV/atom. As for the mass density: 6.533 Mg/m³. As for the space group: P4/mmm, No. 123. Its magnetization is 0.187 μB/atom. Its formation energy (no corrections) is -1.03 eV per atom.